Compound: Zr2AlPd
Source: OQMD via LeMat-Bulk
Functional: PBE
Structure: relaxed

Calculated values
E ... -6.739 eV/atom

a b c (Å): 4.731 4.731 4.731
angles (deg): 60.00 60.00 60.00
Fractional coordinates of all 4 atoms:
Zr: 0.000 0.000 0.000
Zr: 0.250 0.250 0.250
Al: 0.500 0.500 0.500
Pd: 0.750 0.750 0.750